# 1
Here is a crystal of NbReAsAu2 relaxed with PBEsol from Alexandria. Energies are from meta-GGA SCAN.

Output
- calculated total energy (eV per atom) = -50.884
- formation energy (eV/atom) = 1.662

Structure (CIF):
```
data_NbReAsAu2
_chemical_formula_sum 'Nb1 Re1 As1 Au2'
_space_group_name_H-M_alt 'P 4/m m m'
_space_group_IT_number 123
_space_group_name_Hall '-P 4 2'
_cell_length_a 5.016
_cell_length_b 5.016
_cell_length_c 4.800
_cell_angle_alpha 90.00
_cell_angle_beta 90.00
_cell_angle_gamma 90.00
loop_
_atom_site_label
_atom_site_fract_x
_atom_site_fract_y
_atom_site_fract_z
_atom_site_occupancy
Nb1 0.000 0.000 0.000 1
Re1 0.500 0.500 0.500 1
As1 0.000 0.000 0.500 1
Au1 0.000 0.500 0.000 1
```



# 2
Here is a crystal of ZrNb2AsAu relaxed with PBEsol from Alexandria. Energies are from meta-GGA SCAN.

Output
- calculated total energy (eV per atom) = -36.950
- formation energy (eV/atom) = 0.311

Structure (CIF):
```
data_ZrNb2AsAu
_chemical_formula_sum 'Zr1 Nb2 As1 Au1'
_space_group_name_H-M_alt 'P 4/m m m'
_space_group_IT_number 123
_space_group_name_Hall '-P 4 2'
_cell_length_a 4.741
_cell_length_b 4.741
_cell_length_c 4.675
_cell_angle_alpha 90.00
_cell_angle_beta 90.00
_cell_angle_gamma 90.00
loop_
_atom_site_label
_atom_site_fract_x
_atom_site_fract_y
_atom_site_fract_z
_atom_site_occupancy
Zr1 0.000 0.000 0.000 1
Nb1 0.000 0.500 0.500 1
As1 0.500 0.500 0.500 1
Au1 0.500 0.500 0.000 1
```



# 3
Here is a crystal of NdAs2Au relaxed with PBEsol from Alexandria. Energies are from meta-GGA SCAN.

Output
- calculated total energy (eV per atom) = -39.168
- formation energy (eV/atom) = -0.888

Structure (CIF):
```
data_NdAs2Au
_chemical_formula_sum 'Nd4 As8 Au4'
_space_group_name_H-M_alt 'P n m a'
_space_group_IT_number 62
_space_group_name_Hall '-P 2ac 2n'
_cell_length_a 20.303
_cell_length_b 4.052
_cell_length_c 4.070
_cell_angle_alpha 90.00
_cell_angle_beta 90.00
_cell_angle_gamma 90.00
loop_
_atom_site_label
_atom_site_fract_x
_atom_site_fract_y
_atom_site_fract_z
_atom_site_occupancy
Nd1 0.118 0.250 0.226 1
As1 0.001 0.250 0.706 1
As2 0.159 0.750 0.726 1
Au1 0.250 0.250 0.723 1
```



# 4
Here is a crystal of NiAsAu2 relaxed with PBEsol from Alexandria. Energies are from meta-GGA SCAN.

Output
- calculated total energy (eV per atom) = -43.466
- formation energy (eV/atom) = 0.203

Structure (CIF):
```
data_NiAsAu2
_chemical_formula_sum 'Ni4 As4 Au8'
_space_group_name_H-M_alt 'F -4 3 m'
_space_group_IT_number 216
_space_group_name_Hall 'F -4 2 3'
_cell_length_a 6.293
_cell_length_b 6.293
_cell_length_c 6.293
_cell_angle_alpha 90.00
_cell_angle_beta 90.00
_cell_angle_gamma 90.00
loop_
_atom_site_label
_atom_site_fract_x
_atom_site_fract_y
_atom_site_fract_z
_atom_site_occupancy
Ni1 0.000 0.000 0.000 1
As1 0.250 0.250 0.250 1
Au1 0.000 0.000 0.500 1
Au2 0.250 0.250 0.750 1
```



# 5
Here is a crystal of NiAs2Au relaxed with PBEsol from Alexandria. Energies are from meta-GGA SCAN.

Output
- calculated total energy (eV per atom) = -31.036
- formation energy (eV/atom) = 0.392
- excess energy over the best structure of this formula in the dataset (meV per atom) = 319

Structure (CIF):
```
data_NiAs2Au
_chemical_formula_sum 'Ni4 As8 Au4'
_space_group_name_H-M_alt 'F -4 3 m'
_space_group_IT_number 216
_space_group_name_Hall 'F -4 2 3'
_cell_length_a 6.347
_cell_length_b 6.347
_cell_length_c 6.347
_cell_angle_alpha 90.00
_cell_angle_beta 90.00
_cell_angle_gamma 90.00
loop_
_atom_site_label
_atom_site_fract_x
_atom_site_fract_y
_atom_site_fract_z
_atom_site_occupancy
Ni1 0.000 0.000 0.000 1
As1 0.000 0.000 0.500 1
As2 0.250 0.250 0.750 1
Au1 0.250 0.250 0.250 1
```



# 6
Here is a crystal of NiAsAu relaxed with PBEsol from Alexandria. Energies are from meta-GGA SCAN.

Output
- calculated total energy (eV per atom) = -35.175
- formation energy (eV/atom) = -0.001
- excess energy over the best structure of this formula in the dataset (meV per atom) = 0

Structure (CIF):
```
data_NiAsAu
_chemical_formula_sum 'Ni1 As1 Au1'
_space_group_name_H-M_alt 'P 3 m 1'
_space_group_IT_number 156
_space_group_name_Hall 'P 3 -2"'
_cell_length_a 2.9501
_cell_length_b 2.9501
_cell_length_c 6.0847
_cell_angle_alpha 90.00
_cell_angle_beta 90.00
_cell_angle_gamma 120.00
loop_
_atom_site_label
_atom_site_fract_x
_atom_site_fract_y
_atom_site_fract_z
_atom_site_occupancy
Ni1 0.0000 0.0000 0.0000 1
As1 0.6667 0.3333 0.7424 1
Au1 0.3333 0.6667 0.3336 1
```



# 7
Here is a crystal of NiAs2Au relaxed with PBEsol from Alexandria. Energies are from meta-GGA SCAN.

Output
- calculated total energy (eV per atom) = -31.356
- formation energy (eV/atom) = 0.072
- excess energy over the best structure of this formula in the dataset (meV per atom) = 0

Structure (CIF):
```
data_NiAs2Au
_chemical_formula_sum 'Ni1 As2 Au1'
_space_group_name_H-M_alt 'P 4 m m'
_space_group_IT_number 99
_space_group_name_Hall 'P 4 -2'
_cell_length_a 2.874
_cell_length_b 2.874
_cell_length_c 7.763
_cell_angle_alpha 90.00
_cell_angle_beta 90.00
_cell_angle_gamma 90.00
loop_
_atom_site_label
_atom_site_fract_x
_atom_site_fract_y
_atom_site_fract_z
_atom_site_occupancy
Ni1 0.000 0.000 0.000 1
As1 0.000 0.000 0.501 1
As2 0.500 0.500 0.165 1
Au1 0.500 0.500 0.761 1
```



# 8
Here is a crystal of NiAsAu2 relaxed with PBEsol from Alexandria. Energies are from meta-GGA SCAN.

Output
- calculated total energy (eV per atom) = -43.482
- formation energy (eV/atom) = 0.188

Structure (CIF):
```
data_NiAsAu2
_chemical_formula_sum 'Ni2 As2 Au4'
_space_group_name_H-M_alt 'I -4 m 2'
_space_group_IT_number 119
_space_group_name_Hall 'I -4 -2'
_cell_length_a 4.011
_cell_length_b 4.011
_cell_length_c 7.696
_cell_angle_alpha 90.00
_cell_angle_beta 90.00
_cell_angle_gamma 90.00
loop_
_atom_site_label
_atom_site_fract_x
_atom_site_fract_y
_atom_site_fract_z
_atom_site_occupancy
Ni1 0.000 0.000 0.000 1
As1 0.000 0.500 0.250 1
Au1 0.000 0.000 0.500 1
Au2 0.000 0.500 0.750 1
```